ReTcW2 after structural relaxation, computed with PBE.

a = 2.7372 Å, b = 4.4158 Å, c = 5.2072 Å
α = 90.00°, β = 99.31°, γ = 90.00°
Space group P2/m (No. 10)
Unique sites:
Re 0.0000 0.0000 0.0000 (multiplicity 1)
Tc 0.5000 0.0000 0.5000 (multiplicity 1)
W 0.2425 0.5000 0.7496 (multiplicity 2)

Summary:
* energy of formation: 0.11 eV/atom
* calculated density: 17.429 g/cm³
* VASP energy: -12.07 eV per atom

---

CdTe2Rh2 after structural relaxation, computed with PBE.

a = 5.2093 Å, b = 5.2093 Å, c = 8.1876 Å
α = 90.00°, β = 90.00°, γ = 90.00°
Space group I4/mmm (No. 139)
Unique sites:
Cd 0.0000 0.0000 0.0000 (multiplicity 2)
Te 0.0000 0.5000 0.2500 (multiplicity 4)
Rh 0.0000 0.0000 0.3407 (multiplicity 4)

Summary:
* calculated density: 8.571 g/cm³
* VASP energy: -4.40 eV per atom
* formation energy from raw total energies: -0.0210 eV per atom

---

Ba2HgIr2 after structural relaxation, computed with PBE.

a = 7.4795 Å, b = 7.4795 Å, c = 4.9087 Å
α = 90.00°, β = 90.00°, γ = 90.00°
Space group P4/mbm (No. 127)
Unique sites:
Ba 0.1788 0.3212 0.0000 (multiplicity 4)
Hg 0.0000 0.0000 0.5000 (multiplicity 2)
Ir 0.1178 0.6178 0.5000 (multiplicity 4)

Summary:
* energy of formation: 0.01 eV/atom
* calculated density: 10.397 g/cm³
* VASP energy: -4.37 eV per atom

---

TiCrAg2 after structural relaxation, computed with PBE.

a = 6.3780 Å, b = 6.3780 Å, c = 6.3780 Å
α = 90.00°, β = 90.00°, γ = 90.00°
Space group Fm-3m (No. 225)
Unique sites:
Ti 0.0000 0.0000 0.0000 (multiplicity 4)
Cr 0.0000 0.0000 0.5000 (multiplicity 4)
Ag 0.2500 0.2500 0.2500 (multiplicity 8)

Summary:
* energy of formation: 0.62 eV/atom
* calculated density: 8.080 g/cm³
* VASP energy: -5.19 eV per atom

---

> The highest VASP energy belongs to which entry?

Ba2HgIr2